Ti3Zn2Au4: relaxed, GGA-PBE.

Unit cell a=4.175 b=4.833 c=8.456 alpha=78.81 beta=90.00 gamma=64.45
Last column: magnetic moment on the atom in μB.
Atoms (fractional coordinates):
Au 0.336 0.329 0.106  0.01
Au 0.012 0.975 0.334  0.04
Au 0.664 0.671 0.894  0.01
Au 0.988 0.025 0.666  0.04
Ti 0.665 0.671 0.561  0.89
Ti 0.335 0.329 0.439  0.89
Ti 0.000 0.000 0.000  0.01
Zn 0.673 0.654 0.226  0.00
Zn 0.327 0.346 0.774  0.00

- Fermi-level density of states: 6.4 states/eV/cell
- DFT total energy: -4.67 eV/atom
- ΔH_f (0 K): -0.29 eV/atom
- Volume: 150.3 Å³/cell

---

K2ScRu: relaxed, GGA-PBE.

Unit cell a=3.527 b=3.527 c=10.628 alpha=90.00 beta=90.00 gamma=90.00
Atoms (fractional coordinates):
K 0.000 0.000 0.942
K 0.500 0.500 0.332
Ru 0.000 0.000 0.571
Sc 0.500 0.500 0.655

- Fermi-level density of states: 2.5 states/eV/cell
- DFT total energy: -4.17 eV/atom
- ΔH_f (0 K): 0.28 eV/atom
- Volume: 132.2 Å³/cell
- E above lowest polymorph: 0.0 meV/atom